Material: TiNbSn2
Method: DFT, GGA-PBE
State: optimized geometry

The structure belongs to space group P4/mmm (No. 123); the cell edges are 4.429, 4.429 and 4.047 Å and the angles 90.00°, 90.00° and 90.00°. The inequivalent atoms are Ti at (0.000, 0.000, 0.000), Nb at (0.500, 0.500, 0.000) and Sn at (0.000, 0.500, 0.500).

The crystal system is tetragonal. The formation energy is -0.0262 eV per atom.

Material: Ti3Nb3Sn2
Method: DFT, GGA-PBE
State: optimized geometry

The structure belongs to space group R32 (No. 155, hexagonal axes); the cell edges are 7.5535, 7.5535 and 8.9447 Å and the angles 90.00°, 90.00° and 120.00°. The inequivalent atoms are Ti at (0.0000, 0.7334, 0.0000), Nb at (0.0000, 0.2506, 0.5000) and Sn at (0.0000, 0.0000, 0.2434).

The crystal system is trigonal. The formation energy is -0.2503 eV per atom.

Material: Ti6Nb5Sn4
Method: DFT, GGA-PBE
State: optimized geometry

The structure belongs to space group Cmcm (No. 63); the cell edges are 2.966, 25.914 and 14.801 Å and the angles 90.00°, 90.00° and 90.00°. The inequivalent atoms are Ti at (0.000, 0.064, 0.080), Ti at (0.000, 0.099, 0.750), Ti at (0.000, 0.263, 0.078), Ti at (0.000, 0.400, 0.750), Nb at (0.000, 0.011, 0.250), Nb at (0.000, 0.145, 0.579), Nb at (0.000, 0.201, 0.250), Nb at (0.000, 0.307, 0.250), Sn at (0.000, 0.336, 0.589) and Sn at (0.000, 0.458, 0.095).

The crystal system is orthorhombic. The formation energy is -0.0284 eV per atom.

Material: Ti7Nb2Sn
Method: DFT, GGA-PBE
State: optimized geometry

The structure belongs to space group Cmmm (No. 65); the cell edges are 7.075, 13.116 and 4.715 Å and the angles 90.00°, 90.00° and 90.00°. The inequivalent atoms are Ti at (0.000, 0.000, 0.000), Ti at (0.000, 0.260, 0.500), Ti at (0.176, 0.394, 0.000), Nb at (0.000, 0.212, 0.000) and Sn at (0.000, 0.500, 0.500).

The crystal system is orthorhombic. The formation energy is 0.6948 eV per atom.